# 1
Material: Y12Tm6In
Method: DFT, PBE
State: relaxed

a = 8.452 Å, b = 8.452 Å, c = 8.452 Å
α = 88.74°, β = 88.74°, γ = 88.74°
Element x y z (fractional)
Y 0.039 0.283 0.934
Y 0.066 0.961 0.717
Y 0.135 0.324 0.486
Y 0.283 0.934 0.039
Y 0.324 0.486 0.135
Y 0.486 0.135 0.324
Y 0.514 0.865 0.676
Y 0.676 0.514 0.865
Y 0.717 0.066 0.961
Y 0.865 0.676 0.514
Y 0.934 0.039 0.283
Y 0.961 0.717 0.066
Tm 0.214 0.598 0.759
Tm 0.241 0.786 0.402
Tm 0.402 0.241 0.786
Tm 0.598 0.759 0.214
Tm 0.759 0.214 0.598
Tm 0.786 0.402 0.241
In 0.500 0.500 0.500

Calculated values
- calculated volume (Å³ per atom) = 31.75
- SG = No. 148
- formation energy (meV/atom) = 67
- excess energy over the best structure of this formula in the dataset (eV/atom) = 0.0000
- M_tot (μB per cell) = 0.0

---

# 2
Material: KMgBr2
Method: DFT, PBE
State: relaxed

a = 11.632 Å, b = 11.632 Å, c = 11.632 Å
α = 20.04°, β = 20.04°, γ = 20.04°
Element x y z (fractional)
K 0.000 0.000 0.000
Mg 0.500 0.500 0.500
Br 0.124 0.124 0.124
Br 0.876 0.876 0.876

Calculated values
- calculated volume (Å³ per atom) = 40.43
- SG = No. 166
- excess energy over the best structure of this formula in the dataset (eV/atom) = 0.1144
- M_tot (μB per cell) = 0.0
- formation energy from raw total energies (eV/f.u.) = -4.127

---

# 3
Material: TaAs2Pt
Method: DFT, PBE
State: relaxed

a = 4.921 Å, b = 4.921 Å, c = 4.409 Å
α = 104.48°, β = 104.48°, γ = 40.79°
Element x y z (fractional)
Ta 0.000 0.000 0.000
As 0.490 0.490 0.490
As 0.733 0.733 0.110
Pt 0.235 0.235 0.624

Calculated values
- calculated volume (Å³ per atom) = 16.80
- SG = No. 8
- formation energy (meV/atom) = -230
- excess energy over the best structure of this formula in the dataset (eV/atom) = 0.0723
- M_tot (μB per cell) = 0.0

---

# 4
Material: In3AsP2
Method: DFT, PBE
State: relaxed

a = 7.380 Å, b = 7.380 Å, c = 7.378 Å
α = 99.59°, β = 99.59°, γ = 120.01°
Element x y z (fractional)
In 0.083 0.917 0.500
In 0.235 0.744 0.999
In 0.399 0.575 0.490
In 0.575 0.399 0.990
In 0.744 0.235 0.499
In 0.917 0.083 0.000
As 0.533 0.701 0.872
As 0.701 0.533 0.372
P 0.034 0.200 0.372
P 0.200 0.034 0.872
P 0.366 0.869 0.371
P 0.869 0.366 0.871

Calculated values
- calculated volume (Å³ per atom) = 27.34
- SG = No. 9
- formation energy (meV/atom) = -220
- M_tot (μB per cell) = 0.0

---

# 5
Material: Si2PtAuO
Method: DFT, PBE
State: relaxed

a = 4.853 Å, b = 4.853 Å, c = 3.816 Å
α = 90.00°, β = 90.00°, γ = 90.00°
Element x y z (fractional)
Si 0.000 0.500 0.000
Si 0.500 0.000 0.000
Pt 0.000 0.000 0.000
Au 0.500 0.500 0.500
O 0.000 0.000 0.500

Calculated values
- calculated volume (Å³ per atom) = 17.97
- SG = No. 123
- M_tot (μB per cell) = 0.4
- formation energy from raw total energies (eV/f.u.) = 1.810

---

# 6
Material: Rb2Cu2PdI6
Method: DFT, PBE
State: relaxed

a = 8.374 Å, b = 8.374 Å, c = 8.374 Å
α = 59.26°, β = 59.26°, γ = 59.26°
Element x y z (fractional)
Rb 0.242 0.242 0.242
Rb 0.758 0.758 0.758
Cu 0.437 0.437 0.437
Cu 0.563 0.563 0.563
Pd 0.000 0.000 0.000
I 0.229 0.758 0.758
I 0.242 0.242 0.771
I 0.242 0.771 0.242
I 0.758 0.229 0.758
I 0.758 0.758 0.229
I 0.771 0.242 0.242

Calculated values
- calculated volume (Å³ per atom) = 37.11
- SG = No. 166
- M_tot (μB per cell) = 0.0
- formation energy from raw total energies (eV/f.u.) = -6.311

---

# 7
Material: Ac3Nd
Method: DFT, PBE
State: relaxed

a = 7.906 Å, b = 7.906 Å, c = 6.340 Å
α = 90.00°, β = 90.00°, γ = 120.00°
Element x y z (fractional)
Ac 0.169 0.338 0.250
Ac 0.169 0.831 0.250
Ac 0.338 0.169 0.750
Ac 0.662 0.831 0.250
Ac 0.831 0.169 0.750
Ac 0.831 0.662 0.750
Nd 0.333 0.667 0.750
Nd 0.667 0.333 0.250

Calculated values
- calculated volume (Å³ per atom) = 42.89
- SG = No. 194
- formation energy (meV/atom) = 38
- excess energy over the best structure of this formula in the dataset (eV/atom) = 0.0182
- M_tot (μB per cell) = 0.0

---

# 8
Material: Sc2CdInGa
Method: DFT, PBE
State: relaxed

a = 5.136 Å, b = 5.136 Å, c = 4.996 Å
α = 90.00°, β = 90.00°, γ = 90.00°
Element x y z (fractional)
Sc 0.000 0.500 0.000
Sc 0.500 0.000 0.000
Cd 0.000 0.000 0.500
In 0.500 0.500 0.500
Ga 0.500 0.500 0.000

Calculated values
- calculated volume (Å³ per atom) = 26.36
- SG = No. 123
- formation energy (meV/atom) = 130
- M_tot (μB per cell) = 0.0